K2CdPtO after structural relaxation. Source: Alexandria via LeMat-Bulk, functional PBE.

```
5
Lattice="5.840 0.000 0.000 0.000 3.904 0.000 0.000 0.000 5.840" Properties=species:S:1:pos:R:3 pbc="T T T"
O 0.000 0.000 0.000
K 0.000 0.000 2.920
K 2.920 0.000 0.000
Cd 2.920 1.952 2.920
Pt 0.000 1.952 0.000
```

Results
**Formation energy without anion corrections**: -0.449 eV per atom

---

TbTh2Co after structural relaxation. Source: Alexandria via LeMat-Bulk, functional PBE.

```
8
Lattice="-1.119 -2.542 -2.434 -3.247 -0.834 5.161 -6.846 6.181 -3.309" Properties=species:S:1:pos:R:3 pbc="T T T"
Th -9.146 4.248 -0.238
Th -6.630 1.977 0.978
Th -4.582 0.828 -1.559
Th -2.066 -1.443 -0.343
Co -7.968 2.107 -1.343
Co -3.244 0.698 0.761
Tb -5.407 -1.459 1.206
Tb -5.805 4.264 -1.788
```

Results
**E above lowest polymorph**: 0.000 eV/atom
**ΔE_f**: -181 meV per atom

---

Ca3PuIn12 after structural relaxation. Source: Alexandria via LeMat-Bulk, functional PBE.

```
16
Lattice="-1.604 -2.889 -3.383 2.670 -3.502 1.725 -14.014 -5.217 11.099" Properties=species:S:1:pos:R:3 pbc="T T T"
Ca -7.007 -2.609 5.550
Ca -3.487 -1.298 2.762
Ca -10.527 -3.919 8.338
In -9.568 -4.708 5.252
In 0.533 -3.195 -0.829
In -6.049 -3.398 2.465
In -13.093 -6.020 8.043
In -2.525 -2.086 -0.327
In -7.432 -5.014 7.806
In -0.388 -2.392 2.227
In -2.964 -4.497 1.940
In -10.956 -6.326 10.597
In -9.985 -7.111 7.501
In -3.913 -3.704 5.018
In -6.474 -5.804 4.721
Pu 0.000 0.000 0.000
```

Results
**ΔE_f**: -292 meV per atom

---

Nb3CoP after structural relaxation. Source: Alexandria via LeMat-Bulk, functional PBE.

```
5
Lattice="-2.859 3.454 0.812 -0.226 -1.218 4.385 3.541 2.711 0.936" Properties=species:S:1:pos:R:3 pbc="T T T"
Nb -1.430 1.727 0.406
Nb -0.113 -0.609 2.193
Nb 1.771 1.356 0.468
Co 0.000 0.000 0.000
P 0.228 2.474 3.067
```

Results
**E above lowest polymorph**: 0.175 eV/atom
**ΔE_f**: 735 meV per atom

---

Sm13Sc3 after structural relaxation. Source: Alexandria via LeMat-Bulk, functional PBE.

```
16
Lattice="7.242 0.000 0.000 0.000 8.419 -0.848 0.000 0.079 8.461" Properties=species:S:1:pos:R:3 pbc="T T T"
Sm 3.621 6.695 1.076
Sm 3.621 1.724 2.181
Sm 1.784 8.161 3.817
Sm 0.000 1.736 2.261
Sm 5.458 8.161 3.817
Sm 5.458 3.810 -0.081
Sm 5.438 4.563 3.456
Sm 3.621 2.483 5.779
Sm 1.803 4.563 3.456
Sm 0.000 6.703 1.067
Sm 0.000 6.061 6.136
Sm 1.784 3.810 -0.081
Sm 3.621 6.142 6.138
Sc 1.775 0.463 8.034
Sc 5.467 0.463 8.034
Sc 0.000 2.451 5.814
```

Results
**ΔE_f**: 48 meV per atom

---

Ag2As2Pb after structural relaxation. Source: Alexandria via LeMat-Bulk, functional PBE.

```
10
Lattice="-2.889 5.380 -5.625 -3.006 -6.306 -4.488 -2.707 0.179 1.562" Properties=species:S:1:pos:R:3 pbc="T T T"
As -1.484 -1.214 -2.433
As -3.472 -3.462 -5.622
As -2.423 2.537 -4.491
As -4.411 0.288 -7.680
Ag -2.813 1.256 -1.883
Ag -4.977 2.438 -5.769
Ag -5.789 -2.002 -6.668
Ag -3.625 -3.184 -2.782
Pb -2.947 -0.463 -5.056
Pb 0.000 0.000 0.000
```

Results
**E above lowest polymorph**: 0.081 eV/atom
**ΔE_f**: 172 meV per atom

---

NaGa2GeCl8 after structural relaxation. Source: Alexandria via LeMat-Bulk, functional PBE.

```
12
Lattice="7.446 0.000 0.000 -3.723 6.448 0.000 0.000 0.000 7.678" Properties=species:S:1:pos:R:3 pbc="T T T"
Cl -1.884 5.387 5.530
Cl 1.839 1.062 2.148
Cl 0.000 2.123 5.530
Cl 3.723 4.325 2.148
Cl 5.607 1.061 2.148
Cl 3.723 2.149 6.881
Cl 1.884 5.386 5.530
Cl 0.000 4.299 0.797
Na 0.000 0.000 0.000
Ga 3.723 2.149 1.384
Ga 0.000 4.299 6.294
Ge 0.000 0.000 3.839
```

Results
**Formation energy without anion corrections**: -1.016 eV per atom

---

Na3Pu2NiS6 after structural relaxation. Source: Alexandria via LeMat-Bulk, functional PBE.

```
12
Lattice="6.667 -0.003 0.001 -3.334 5.774 0.001 -1.110 -1.923 6.657" Properties=species:S:1:pos:R:3 pbc="T T T"
Pu -0.001 3.849 0.001
Pu 3.334 1.922 0.001
Na 4.450 -0.004 3.329
Na 1.111 1.924 3.329
Na -2.228 3.853 3.329
S 3.288 2.003 5.201
S 0.092 3.850 5.201
S -1.066 1.845 1.458
S 2.271 3.932 1.447
S -0.048 -0.084 5.212
S 2.131 -0.001 1.458
Ni 0.000 0.000 0.000
```

Results
**Formation energy without anion corrections**: -1.189 eV per atom